No. 1
A plane-wave DFT calculation with PBE-GGA was carried out for a geometry-optimized Rb2ReBi structure.

Values from the calculation:
The space-group type is Cmcm. The value obtained for the electronic total energy is -4.04 eV per atom.

a b c (Å): 7.479 7.479 5.130
angles (deg): 90.00 90.00 80.22
Positions (direct):
Bi1 0.759 0.241 0.250
Bi2 0.241 0.759 0.750
Rb1 0.325 0.063 0.250
Rb2 0.937 0.675 0.250
Rb3 0.063 0.325 0.750
Rb4 0.675 0.937 0.750
Re1 0.500 0.500 0.000
Re2 0.500 0.500 0.500

***

No. 2
A plane-wave DFT calculation with PBE-GGA was carried out for a geometry-optimized RbReBi structure.

Values from the calculation:
The space-group type is F-43m. For the distance to the lowest polymorph of the same formula, the calculation gives 17.14 kcal/mol of atoms.

a b c (Å): 5.422 5.422 5.422
angles (deg): 60.00 60.00 60.00
Positions (direct):
Bi1 0.250 0.250 0.250
Rb1 0.000 0.000 0.000
Re1 0.750 0.750 0.750